Entry 1:
A geometry-optimized TiCrIrS structure, computed with PBE-GGA. Values from VASP.

```
&SYSTEM
  ibrav = 0, nat = 8, ntyp = 4
/
ATOMIC_SPECIES
Ti 47.87 Ti.upf
Cr 52.00 Cr.upf
Ir 192.22 Ir.upf
S 32.06 S.upf
ATOMIC_POSITIONS angstrom
Ti 0.0000 0.0000 0.0000
Ti 4.5250 1.4555 0.0000
Cr 1.5288 1.4555 2.9767
Cr 6.0538 0.0000 2.9767
Ir 3.6585 0.0000 2.1966
Ir 8.1835 1.4555 2.1966
S 2.3516 0.0000 0.2327
S 6.8766 1.4555 0.2327
CELL_PARAMETERS angstrom
9.0500 0.0000 0.0000
0.0000 2.9110 0.0000
-0.5657 0.0000 4.3962
```

Results
symmetry	Cm (8)
total magnetization	0.000	μB per atom
formation energy from raw total energies	-0.4162	eV/atom
V	115.8	Å³ per cell
theoretical density	9.29	g cm⁻³

=====

Entry 2:
A geometry-optimized TiCrIrS structure, computed with PBE-GGA. Values from VASP.

```
&SYSTEM
  ibrav = 0, nat = 4, ntyp = 4
/
ATOMIC_SPECIES
Ti 47.87 Ti.upf
Cr 52.00 Cr.upf
Ir 192.22 Ir.upf
S 32.06 S.upf
ATOMIC_POSITIONS angstrom
Ti 0.0000 0.0000 0.0000
Cr 0.0000 0.0000 3.6600
Ir 1.4150 1.4150 1.9539
S 1.4150 1.4150 5.0214
CELL_PARAMETERS angstrom
2.8299 0.0000 0.0000
0.0000 2.8299 0.0000
0.0000 0.0000 6.6654
```

Results
symmetry	P4mm (99)
total magnetization	0.000	μB per atom
formation energy from raw total energies	-0.4940	eV/atom
V	53.4	Å³ per cell
theoretical density	10.08	g cm⁻³

=====

Entry 3:
A geometry-optimized YCrIr2S structure, computed with PBE-GGA. Values from VASP.

```
&SYSTEM
  ibrav = 0, nat = 5, ntyp = 4
/
ATOMIC_SPECIES
Y 88.91 Y.upf
Cr 52.00 Cr.upf
Ir 192.22 Ir.upf
S 32.06 S.upf
ATOMIC_POSITIONS angstrom
Y 0.0000 0.0000 0.0000
Cr 2.2817 2.2817 0.0000
Ir 0.0000 2.2817 2.1002
Ir 2.2817 0.0000 2.1002
S 2.2817 2.2817 2.1002
CELL_PARAMETERS angstrom
4.5634 0.0000 0.0000
0.0000 4.5634 0.0000
0.0000 0.0000 4.2004
```

Results
symmetry	P4/mmm (123)
total magnetization	0.295	μB per atom
formation energy from raw total energies	-0.0814	eV/atom
V	87.5	Å³ per cell
theoretical density	10.58	g cm⁻³

=====

Entry 4:
A geometry-optimized CrSb2Ir structure, computed with PBE-GGA. Values from VASP.

```
&SYSTEM
  ibrav = 0, nat = 16, ntyp = 3
/
ATOMIC_SPECIES
Cr 52.00 Cr.upf
Sb 121.76 Sb.upf
Ir 192.22 Ir.upf
ATOMIC_POSITIONS angstrom
Cr 0.0000 0.0000 0.0000
Cr 0.0000 3.2784 3.2784
Cr 3.2784 0.0000 3.2784
Cr 3.2784 3.2784 0.0000
Sb 1.6392 1.6392 1.6392
Sb 1.6392 1.6392 4.9176
Sb 1.6392 4.9176 1.6392
Sb 1.6392 4.9176 4.9176
Sb 4.9176 1.6392 1.6392
Sb 4.9176 1.6392 4.9176
Sb 4.9176 4.9176 1.6392
Sb 4.9176 4.9176 4.9176
Ir 0.0000 0.0000 3.2784
Ir 0.0000 3.2784 0.0000
Ir 3.2784 0.0000 0.0000
Ir 3.2784 3.2784 3.2784
CELL_PARAMETERS angstrom
6.5569 0.0000 0.0000
0.0000 6.5569 0.0000
0.0000 0.0000 6.5569
```

Results
symmetry	Fm-3m (225)
total magnetization	0.186	μB per atom
formation energy from raw total energies	0.3686	eV/atom
V	281.9	Å³ per cell
theoretical density	11.49	g cm⁻³

=====

Entry 5:
A geometry-optimized Cr2SbIr structure, computed with PBE-GGA. Values from VASP.

```
&SYSTEM
  ibrav = 0, nat = 8, ntyp = 3
/
ATOMIC_SPECIES
Cr 52.00 Cr.upf
Sb 121.76 Sb.upf
Ir 192.22 Ir.upf
ATOMIC_POSITIONS angstrom
Cr 0.0000 1.9842 1.9242
Cr 0.0000 1.9842 5.7727
Cr 1.9842 0.0000 1.9242
Cr 1.9842 0.0000 5.7727
Sb 0.0000 0.0000 0.0000
Sb 1.9842 1.9842 3.8484
Ir 0.0000 0.0000 3.8484
Ir 1.9842 1.9842 0.0000
CELL_PARAMETERS angstrom
3.9684 0.0000 0.0000
0.0000 3.9684 0.0000
0.0000 0.0000 7.6969
```

Results
symmetry	I4/mmm (139)
total magnetization	1.023	μB per atom
formation energy from raw total energies	0.1703	eV/atom
V	121.2	Å³ per cell
theoretical density	11.45	g cm⁻³

=====

Entry 6:
A geometry-optimized CrSb2Ir structure, computed with PBE-GGA. Values from VASP.

```
&SYSTEM
  ibrav = 0, nat = 8, ntyp = 3
/
ATOMIC_SPECIES
Cr 52.00 Cr.upf
Sb 121.76 Sb.upf
Ir 192.22 Ir.upf
ATOMIC_POSITIONS angstrom
Cr 0.0000 0.0000 0.0000
Cr 3.4361 2.0463 0.0000
Sb -0.1349 0.0000 4.3565
Sb 1.0881 2.0463 1.6050
Sb 3.3012 2.0463 4.3565
Sb 4.5242 0.0000 1.6050
Ir -1.2415 2.0463 2.9807
Ir 2.1947 0.0000 2.9807
CELL_PARAMETERS angstrom
6.8723 0.0000 0.0000
0.0000 4.0926 0.0000
-2.4829 0.0000 5.9615
```

Results
symmetry	C2/m (12)
total magnetization	0.900	μB per atom
formation energy from raw total energies	0.2125	eV/atom
V	167.7	Å³ per cell
theoretical density	9.66	g cm⁻³

=====

Entry 7:
A geometry-optimized CrSb2Ir structure, computed with PBE-GGA. Values from VASP.

```
&SYSTEM
  ibrav = 0, nat = 12, ntyp = 3
/
ATOMIC_SPECIES
Cr 52.00 Cr.upf
Sb 121.76 Sb.upf
Ir 192.22 Ir.upf
ATOMIC_POSITIONS angstrom
Cr 0.0000 0.0000 0.0000
Cr 0.0000 1.8195 20.5130
Cr 1.5758 0.9098 10.2565
Sb 0.0000 0.0000 16.4504
Sb 0.0000 0.0000 22.6775
Sb 0.0000 1.8195 6.1939
Sb 0.0000 1.8195 12.4210
Sb 1.5758 0.9098 2.1645
Sb 1.5758 0.9098 26.7069
Ir 0.0000 0.0000 8.2414
Ir 0.0000 1.8195 28.7543
Ir 1.5758 0.9098 18.4978
CELL_PARAMETERS angstrom
3.1515 0.0000 0.0000
-1.5758 2.7293 0.0000
0.0000 0.0000 30.7694
```

Results
symmetry	R3m (160)
total magnetization	0.849	μB per atom
formation energy from raw total energies	0.3055	eV/atom
V	264.7	Å³ per cell
theoretical density	9.18	g cm⁻³

=====

Entry 8:
A geometry-optimized CrSbIr4 structure, computed with PBE-GGA. Values from VASP.

```
&SYSTEM
  ibrav = 0, nat = 6, ntyp = 3
/
ATOMIC_SPECIES
Cr 52.00 Cr.upf
Sb 121.76 Sb.upf
Ir 192.22 Ir.upf
ATOMIC_POSITIONS angstrom
Cr 0.0000 0.0000 0.0000
Sb 1.8591 1.8591 1.8591
Ir 4.6503 2.7861 2.7861
Ir 2.7861 4.6503 2.7861
Ir 2.7861 2.7861 4.6503
Ir 4.6503 4.6503 4.6503
CELL_PARAMETERS angstrom
0.0000 3.7182 3.7182
3.7182 0.0000 3.7182
3.7182 3.7182 0.0000
```

Results
symmetry	F-43m (216)
total magnetization	0.589	μB per atom
formation energy from raw total energies	0.4145	eV/atom
V	102.8	Å³ per cell
theoretical density	15.23	g cm⁻³

=====

Entry 9:
A geometry-optimized CrSb2Ir structure, computed with PBE-GGA. Values from VASP.

```
&SYSTEM
  ibrav = 0, nat = 4, ntyp = 3
/
ATOMIC_SPECIES
Cr 52.00 Cr.upf
Sb 121.76 Sb.upf
Ir 192.22 Ir.upf
ATOMIC_POSITIONS angstrom
Cr 0.0000 0.0000 0.0000
Sb 0.0000 0.0000 2.7074
Sb 1.8698 1.8698 4.7529
Ir 1.8698 1.8698 1.9448
CELL_PARAMETERS angstrom
3.7396 0.0000 0.0000
0.0000 3.7396 0.0000
0.0000 0.0000 5.5139
```

Results
symmetry	P4mm (99)
total magnetization	0.710	μB per atom
formation energy from raw total energies	0.1116	eV/atom
V	77.1	Å³ per cell
theoretical density	10.50	g cm⁻³

=====

Entry 10:
A geometry-optimized Cr2SbIr structure, computed with PBE-GGA. Values from VASP.

```
&SYSTEM
  ibrav = 0, nat = 16, ntyp = 3
/
ATOMIC_SPECIES
Cr 52.00 Cr.upf
Sb 121.76 Sb.upf
Ir 192.22 Ir.upf
ATOMIC_POSITIONS angstrom
Cr 0.0000 0.0000 0.0000
Cr 0.0000 3.1148 3.1148
Cr 1.5574 1.5574 1.5574
Cr 1.5574 4.6722 4.6722
Cr 3.1148 0.0000 3.1148
Cr 3.1148 3.1148 0.0000
Cr 4.6722 1.5574 4.6722
Cr 4.6722 4.6722 1.5574
Sb 1.5574 1.5574 4.6722
Sb 1.5574 4.6722 1.5574
Sb 4.6722 1.5574 1.5574
Sb 4.6722 4.6722 4.6722
Ir 0.0000 0.0000 3.1148
Ir 0.0000 3.1148 0.0000
Ir 3.1148 0.0000 0.0000
Ir 3.1148 3.1148 3.1148
CELL_PARAMETERS angstrom
6.2296 0.0000 0.0000
0.0000 6.2296 0.0000
0.0000 0.0000 6.2296
```

Results
symmetry	F-43m (216)
total magnetization	0.506	μB per atom
formation energy from raw total energies	0.1284	eV/atom
V	241.8	Å³ per cell
theoretical density	11.48	g cm⁻³

=====

Entry 11:
A geometry-optimized CrSb4Ir structure, computed with PBE-GGA. Values from VASP.

```
&SYSTEM
  ibrav = 0, nat = 6, ntyp = 3
/
ATOMIC_SPECIES
Cr 52.00 Cr.upf
Sb 121.76 Sb.upf
Ir 192.22 Ir.upf
ATOMIC_POSITIONS angstrom
Cr 0.0000 0.0000 0.0000
Sb 3.1829 3.1829 3.1829
Sb 5.2980 5.2980 3.1829
Sb 5.2980 3.1829 5.2980
Sb 3.1829 5.2980 5.2980
Ir 6.3606 6.3606 6.3606
CELL_PARAMETERS angstrom
0.0000 4.2404 4.2404
4.2404 0.0000 4.2404
4.2404 4.2404 0.0000
```

Results
symmetry	F-43m (216)
total magnetization	0.563	μB per atom
formation energy from raw total energies	1.0760	eV/atom
V	152.5	Å³ per cell
theoretical density	7.96	g cm⁻³

=====

Entry 12:
A geometry-optimized CrSb2Ir structure, computed with PBE-GGA. Values from VASP.

```
&SYSTEM
  ibrav = 0, nat = 16, ntyp = 3
/
ATOMIC_SPECIES
Cr 52.00 Cr.upf
Sb 121.76 Sb.upf
Ir 192.22 Ir.upf
ATOMIC_POSITIONS angstrom
Cr 0.0000 0.0000 0.0000
Cr 0.0000 3.0023 2.8930
Cr 3.0023 0.0000 8.6791
Cr 3.0023 3.0023 5.7861
Sb 1.4952 1.5012 7.2326
Sb 1.5012 4.4975 10.1256
Sb 1.5012 4.5095 4.3396
Sb 1.5072 1.5012 1.4465
Sb 4.4975 4.5035 1.4465
Sb 4.5035 1.4952 4.3396
Sb 4.5035 1.5072 10.1256
Sb 4.5095 4.5035 7.2326
Ir 0.0000 0.0000 5.7861
Ir 0.0000 3.0023 8.6791
Ir 3.0023 0.0000 2.8930
Ir 3.0023 3.0023 0.0000
CELL_PARAMETERS angstrom
6.0047 0.0000 0.0000
0.0000 6.0047 0.0000
0.0000 0.0000 11.5721
```

Results
symmetry	I-42d (122)
total magnetization	0.011	μB per atom
formation energy from raw total energies	0.6999	eV/atom
V	417.2	Å³ per cell
theoretical density	7.76	g cm⁻³

=====

Entry 13:
A geometry-optimized CrSb2Ir structure, computed with PBE-GGA. Values from VASP.

```
&SYSTEM
  ibrav = 0, nat = 8, ntyp = 3
/
ATOMIC_SPECIES
Cr 52.00 Cr.upf
Sb 121.76 Sb.upf
Ir 192.22 Ir.upf
ATOMIC_POSITIONS angstrom
Cr 0.0000 0.0000 0.0000
Cr 3.3809 3.3851 0.0000
Sb 1.6905 1.6926 1.6164
Sb 1.6905 5.0777 1.6164
Sb 5.0714 1.6926 1.6164
Sb 5.0714 5.0777 1.6164
Ir 0.0000 3.3851 0.0000
Ir 3.3809 0.0000 0.0000
CELL_PARAMETERS angstrom
6.7619 0.0000 0.0000
0.0000 6.7703 0.0000
0.0000 0.0000 3.2329
```

Results
symmetry	Cmmm (65)
total magnetization	0.708	μB per atom
formation energy from raw total energies	0.2559	eV/atom
V	148.0	Å³ per cell
theoretical density	10.94	g cm⁻³

=====

Entry 14:
A geometry-optimized CrSb2Ir structure, computed with PBE-GGA. Values from VASP.

```
&SYSTEM
  ibrav = 0, nat = 4, ntyp = 3
/
ATOMIC_SPECIES
Cr 52.00 Cr.upf
Sb 121.76 Sb.upf
Ir 192.22 Ir.upf
ATOMIC_POSITIONS angstrom
Cr 0.0000 0.0000 0.0000
Sb 0.0000 0.0000 3.6067
Sb 1.4866 1.4866 7.2850
Ir 1.4866 1.4866 1.5125
CELL_PARAMETERS angstrom
2.9732 0.0000 0.0000
0.0000 2.9732 0.0000
0.0000 0.0000 9.2098
```

Results
symmetry	P4mm (99)
total magnetization	0.000	μB per atom
formation energy from raw total energies	0.1830	eV/atom
V	81.4	Å³ per cell
theoretical density	9.95	g cm⁻³

=====

Entry 15:
A geometry-optimized CrSb2Ir structure, computed with PBE-GGA. Values from VASP.

```
&SYSTEM
  ibrav = 0, nat = 8, ntyp = 3
/
ATOMIC_SPECIES
Cr 52.00 Cr.upf
Sb 121.76 Sb.upf
Ir 192.22 Ir.upf
ATOMIC_POSITIONS angstrom
Cr 0.0000 0.0000 0.0000
Cr 1.8342 1.9067 5.5652
Sb 0.0000 0.0000 6.2070
Sb 0.0000 1.9067 3.4311
Sb 1.8342 0.0000 8.9962
Sb 1.8342 1.9067 0.6418
Ir 0.0000 1.9067 8.1000
Ir 1.8342 0.0000 2.5348
CELL_PARAMETERS angstrom
3.6684 0.0000 0.0000
0.0000 3.8135 0.0000
0.0000 0.0000 11.1303
```

Results
symmetry	Imm2 (44)
total magnetization	0.695	μB per atom
formation energy from raw total energies	0.1858	eV/atom
V	155.7	Å³ per cell
theoretical density	10.40	g cm⁻³

=====

Entry 16:
A geometry-optimized Cr2SbIr structure, computed with PBE-GGA. Values from VASP.

```
&SYSTEM
  ibrav = 0, nat = 8, ntyp = 3
/
ATOMIC_SPECIES
Cr 52.00 Cr.upf
Sb 121.76 Sb.upf
Ir 192.22 Ir.upf
ATOMIC_POSITIONS angstrom
Cr 2.0128 0.0000 0.8063
Cr 1.1708 1.4745 3.8726
Cr 6.5817 1.4745 0.8063
Cr 5.7397 0.0000 3.8726
Sb -0.6926 0.0000 2.3394
Sb 3.8762 1.4745 2.3394
Ir 0.0000 1.4745 0.0000
Ir 4.5688 0.0000 0.0000
CELL_PARAMETERS angstrom
9.1377 0.0000 0.0000
0.0000 2.9489 0.0000
-1.3852 0.0000 4.6789
```

Results
symmetry	C2/m (12)
total magnetization	0.000	μB per atom
formation energy from raw total energies	0.2617	eV/atom
V	126.1	Å³ per cell
theoretical density	11.01	g cm⁻³

=====

Entry 17:
A geometry-optimized Cr2SbIr structure, computed with PBE-GGA. Values from VASP.

```
&SYSTEM
  ibrav = 0, nat = 4, ntyp = 3
/
ATOMIC_SPECIES
Cr 52.00 Cr.upf
Sb 121.76 Sb.upf
Ir 192.22 Ir.upf
ATOMIC_POSITIONS angstrom
Cr 0.0000 0.0000 0.0000
Cr 1.5200 1.8750 1.1017
Sb 1.5200 1.8750 3.9614
Ir 0.0000 0.0000 2.6382
CELL_PARAMETERS angstrom
3.0399 0.0000 0.0000
0.0000 3.7500 0.0000
0.0000 0.0000 5.6076
```

Results
symmetry	Pmm2 (25)
total magnetization	0.047	μB per atom
formation energy from raw total energies	0.2092	eV/atom
V	63.9	Å³ per cell
theoretical density	10.86	g cm⁻³

=====

Entry 18:
A geometry-optimized CrSb2Ir structure, computed with PBE-GGA. Values from VASP.

```
&SYSTEM
  ibrav = 0, nat = 8, ntyp = 3
/
ATOMIC_SPECIES
Cr 52.00 Cr.upf
Sb 121.76 Sb.upf
Ir 192.22 Ir.upf
ATOMIC_POSITIONS angstrom
Cr 0.0000 0.0000 0.0000
Cr 0.0000 1.8914 5.1680
Sb 0.0000 0.0000 7.5424
Sb 0.0000 1.8914 2.3744
Sb 1.9684 0.0000 4.4908
Sb 1.9684 1.8914 9.6588
Ir 1.9684 0.0000 1.7079
Ir 1.9684 1.8914 6.8759
CELL_PARAMETERS angstrom
3.9367 0.0000 0.0000
0.0000 3.7828 0.0000
0.0000 0.0000 10.3360
```

Results
symmetry	Amm2 (38)
total magnetization	0.642	μB per atom
formation energy from raw total energies	0.0701	eV/atom
V	153.9	Å³ per cell
theoretical density	10.52	g cm⁻³

=====

Entry 19:
A geometry-optimized Cr2SbIr structure, computed with PBE-GGA. Values from VASP.

```
&SYSTEM
  ibrav = 0, nat = 4, ntyp = 3
/
ATOMIC_SPECIES
Cr 52.00 Cr.upf
Sb 121.76 Sb.upf
Ir 192.22 Ir.upf
ATOMIC_POSITIONS angstrom
Cr 0.0000 1.9899 0.0000
Cr 1.9899 0.0000 0.0000
Sb 0.0000 0.0000 1.9755
Ir 1.9899 1.9899 1.9755
CELL_PARAMETERS angstrom
3.9797 0.0000 0.0000
0.0000 3.9797 0.0000
0.0000 0.0000 3.9509
```

Results
symmetry	P4/mmm (123)
total magnetization	1.455	μB per atom
formation energy from raw total energies	0.1479	eV/atom
V	62.6	Å³ per cell
theoretical density	11.09	g cm⁻³

=====

Entry 20:
A geometry-optimized CrSb2Ir structure, computed with PBE-GGA. Values from VASP.

```
&SYSTEM
  ibrav = 0, nat = 4, ntyp = 3
/
ATOMIC_SPECIES
Cr 52.00 Cr.upf
Sb 121.76 Sb.upf
Ir 192.22 Ir.upf
ATOMIC_POSITIONS angstrom
Cr 0.0000 0.0000 0.0000
Sb 0.0000 2.5520 0.9657
Sb 1.6676 0.0000 2.2575
Ir 1.6676 2.5520 3.2388
CELL_PARAMETERS angstrom
3.3351 0.0000 0.0000
0.0000 5.1041 0.0000
0.0000 0.0000 4.4763
```

Results
symmetry	Pmm2 (25)
total magnetization	0.643	μB per atom
formation energy from raw total energies	0.1800	eV/atom
V	76.2	Å³ per cell
theoretical density	10.63	g cm⁻³